(1)
First-principles (PBE) data for a geometry-optimized BePSeS2 structure, as listed in Alexandria.

```
data_BePSeS2
_cell_length_a 4.7310
_cell_length_b 4.7310
_cell_length_c 4.8013
_cell_angle_alpha 90.00
_cell_angle_beta 90.00
_cell_angle_gamma 90.00
_space_group_name_H-M_alt 'P 1'
_space_group_IT_number 1
loop_
_space_group_symop_operation_xyz
'x,y,z'
loop_
_atom_site_label
_atom_site_type_symbol
_atom_site_fract_x
_atom_site_fract_y
_atom_site_fract_z
Be1 Be 0.0000 0.0000 0.0000
P1 P 0.5000 0.5000 0.0000
Se1 Se 0.5000 0.5000 0.5000
S1 S 0.0000 0.5000 0.5000
S2 S 0.5000 0.0000 0.5000
```

---

(2)
First-principles (PBE) data for a geometry-optimized BePSeS2 structure, as listed in Alexandria.

```
data_BePSeS2
_cell_length_a 4.2588
_cell_length_b 4.2588
_cell_length_c 4.4654
_cell_angle_alpha 90.00
_cell_angle_beta 90.00
_cell_angle_gamma 90.00
_space_group_name_H-M_alt 'P 1'
_space_group_IT_number 1
loop_
_space_group_symop_operation_xyz
'x,y,z'
loop_
_atom_site_label
_atom_site_type_symbol
_atom_site_fract_x
_atom_site_fract_y
_atom_site_fract_z
Be1 Be 0.0000 0.0000 0.0000
P1 P 0.0000 0.0000 0.5000
Se1 Se 0.5000 0.5000 0.5000
S1 S 0.0000 0.5000 0.0000
S2 S 0.5000 0.0000 0.0000
```

---

(3)
First-principles (PBE) data for a geometry-optimized BeP2SeS structure, as listed in Alexandria.

```
data_BeP2SeS
_cell_length_a 4.7627
_cell_length_b 4.7627
_cell_length_c 4.7340
_cell_angle_alpha 90.00
_cell_angle_beta 90.00
_cell_angle_gamma 90.00
_space_group_name_H-M_alt 'P 1'
_space_group_IT_number 1
loop_
_space_group_symop_operation_xyz
'x,y,z'
loop_
_atom_site_label
_atom_site_type_symbol
_atom_site_fract_x
_atom_site_fract_y
_atom_site_fract_z
Be1 Be 0.0000 0.0000 0.0000
P1 P 0.0000 0.5000 0.5000
P2 P 0.5000 0.0000 0.5000
Se1 Se 0.5000 0.5000 0.5000
S1 S 0.5000 0.5000 0.0000
```

---

(4)
First-principles (PBE) data for a geometry-optimized BeP2SeS structure, as listed in Alexandria.

```
data_BeP2SeS
_cell_length_a 4.4268
_cell_length_b 4.4268
_cell_length_c 4.1177
_cell_angle_alpha 90.00
_cell_angle_beta 90.00
_cell_angle_gamma 90.00
_space_group_name_H-M_alt 'P 1'
_space_group_IT_number 1
loop_
_space_group_symop_operation_xyz
'x,y,z'
loop_
_atom_site_label
_atom_site_type_symbol
_atom_site_fract_x
_atom_site_fract_y
_atom_site_fract_z
Be1 Be 0.0000 0.0000 0.0000
P1 P 0.0000 0.5000 0.0000
P2 P 0.5000 0.0000 0.0000
Se1 Se 0.5000 0.5000 0.5000
S1 S 0.0000 0.0000 0.5000
```

---

Final energy
In order: -2.92; -3.59; -3.01; -3.77
Unit: eV per atom